(1)
{"formula": "Mg2TlAs", "functional": "PBE", "state": "optimized geometry", "relative_energy_mev_per_atom": 116.0, "final_energy_ev_per_fu": -10.89, "volume_a3_per_cell": 100.30, "formation_energy_ev_per_fu": -0.681, "total_magnetization_mub_per_atom": 0.00, "space_group": "No. 25", "cell": [[-0.9900, -1.0926, -3.7728], [1.1894, -3.1934, 0.6127], [-6.4855, -1.9780, 2.2746]], "species": ["Mg", "Mg", "Tl", "As"], "frac_coords": [[0.5000, 0.1249, 0.2300], [0.0000, 0.1250, 0.8538], [0.0000, 0.6251, 0.4796], [0.5000, 0.6250, 0.9366]]}

---

(2)
{"formula": "Mg2Tl4As", "functional": "PBE", "state": "optimized geometry", "final_energy_ev_per_fu": -15.49, "volume_a3_per_cell": 239.75, "formation_energy_ev_per_fu": 1.819, "total_magnetization_mub_per_atom": 0.00, "space_group": "No. 139", "cell": [[-1.4824, 4.7629, -2.8836], [-5.5603, -1.1109, 1.0235], [-3.1578, 5.6440, 5.1892]], "species": ["Tl", "Tl", "Tl", "Tl", "Mg", "Mg", "As"], "frac_coords": [[0.1923, 0.1923, 0.6154], [0.0000, 0.5000, 0.0000], [0.5000, 0.0000, 0.0000], [0.8077, 0.8077, 0.3846], [0.3968, 0.3968, 0.2065], [0.6032, 0.6032, 0.7935], [0.0000, 0.0000, 0.0000]]}

---

Number 2 is which compound? Mg2Tl4As